# 1
Here is a PBEsol-optimized structure of CuAgCl2 from Alexandria. Energies are from meta-GGA SCAN.

abc: 3.5676 3.5676 6.7281
angles: 74.63 74.63 60.00
Closest atoms and distances in Å follow each position.
Element x y z (fractional)
Cu 0.5000 0.5000 0.5000  6 Cl 2.49
Ag 0.0000 0.0000 0.0000  6 Cl 2.74
Cl 0.2394 0.2394 0.2818  3 Cu 2.49, 3 Ag 2.74
Cl 0.7606 0.7606 0.7182  3 Cu 2.49, 3 Ag 2.74

## Properties
**Energy relative to the elements, uncorrected**: -9.9 kcal/mol of atoms

# 2
Here is a PBEsol-optimized structure of AlCd5 from Alexandria. Energies are from meta-GGA SCAN.

abc: 5.0617 5.0617 5.5361
angles: 90.00 90.00 120.00
Closest atoms and distances in Å follow each position.
Element x y z (fractional)
Al 0.0000 0.0000 0.5000  12 Cd 2.92-3.24
Cd 0.3313 0.3313 0.0000  10 Cd 2.90-3.24, 2 Al 3.24
Cd 0.6687 0.0000 0.0000  10 Cd 2.90-3.24, 2 Al 3.24
Cd 0.0000 0.6687 0.0000  10 Cd 2.90-3.24, 2 Al 3.24
Cd 0.3333 0.6667 0.5000  3 Al 2.92, 9 Cd 2.92-3.24
Cd 0.6667 0.3333 0.5000  3 Al 2.92, 9 Cd 2.92-3.24

## Properties
**Density of states at the Fermi level**: 0.32 states/eV per atom
**E_form**: 0.47 eV per formula unit

# 3
Here is a PBEsol-optimized structure of K3CdF from Alexandria. Energies are from meta-GGA SCAN.

abc: 5.4196 5.4196 5.4196
angles: 90.00 90.00 90.00
Closest atoms and distances in Å follow each position.
Element x y z (fractional)
K 0.0000 0.5000 0.0000  2 F 2.71
K 0.0000 0.0000 0.5000  2 F 2.71
K 0.5000 0.0000 0.0000  2 F 2.71
Cd 0.5000 0.5000 0.5000  12 K 3.83
F 0.0000 0.0000 0.0000  6 K 2.71

## Properties
**Energy relative to the elements, uncorrected**: -25.9 kcal/mol of atoms
**Density of states at the Fermi level**: 0.61 states/eV per atom

# 4
Here is a PBEsol-optimized structure of AlTc2AuO from Alexandria. Energies are from meta-GGA SCAN.

abc: 3.8970 4.0859 4.0859
angles: 90.00 90.00 90.00
Closest atoms and distances in Å follow each position.
Element x y z (fractional)
Au 0.5000 0.5000 0.5000  8 Tc 2.82, 4 Al 2.89
Tc 0.0000 0.0000 0.5000  2 O 2.04
Tc 0.0000 0.5000 0.0000  2 O 2.04
O 0.0000 0.0000 0.0000  2 Al 1.95, 4 Tc 2.04
Al 0.5000 0.0000 0.0000  2 O 1.95

## Properties
**Energy relative to the elements, uncorrected**: -4.5 kcal/mol of atoms
**Density of states at the Fermi level**: 0.59 states/eV per atom

# 5
Here is a PBEsol-optimized structure of ZrBe3 from Alexandria. Energies are from meta-GGA SCAN.

abc: 3.6170 5.5097 5.5097
angles: 120.00 90.00 90.00
Closest atoms and distances in Å follow each position.
Element x y z (fractional)
Be 0.7500 0.1331 0.8669  6 Be 2.20-2.21
Be 0.7500 0.7337 0.8669  6 Be 2.20-2.21
Be 0.7500 0.1331 0.2663  6 Be 2.20-2.21
Be 0.2500 0.8669 0.1331  6 Be 2.20-2.21
Be 0.2500 0.2663 0.1331  6 Be 2.20-2.21
Be 0.2500 0.8669 0.7337  6 Be 2.20-2.21
Zr 0.7500 0.6667 0.3333  12 Be 2.63-2.77
Zr 0.2500 0.3333 0.6667  12 Be 2.63-2.77

## Properties
**E above lowest polymorph**: 14 kJ/mol of formula units
**Density of states at the Fermi level**: 0.48 states/eV per atom
**E_form**: -0.58 eV per formula unit

# 6
Here is a PBEsol-optimized structure of AlCrFe from Alexandria. Energies are from meta-GGA SCAN.

abc: 2.5132 2.5132 6.0759
angles: 98.32 98.32 107.47
Closest atoms and distances in Å follow each position.
Element x y z (fractional)
Cr 0.6723 0.6723 0.3446  2 Fe 2.38, 4 Cr 2.51, 2 Al 2.54
Fe 0.3302 0.3302 0.6604  2 Cr 2.38, 2 Al 2.47, 4 Fe 2.51
Al 0.9975 0.9975 0.9949  2 Fe 2.47, 4 Al 2.51, 2 Cr 2.54

## Properties
**Density of states at the Fermi level**: 0.75 states/eV per atom
**E_form**: -0.07 eV per formula unit

# 7
Here is a PBEsol-optimized structure of NbSi2NiP from Alexandria. Energies are from meta-GGA SCAN.

abc: 4.3375 4.3375 4.4903
angles: 90.00 90.00 90.00
Closest atoms and distances in Å follow each position.
Element x y z (fractional)
Ni 0.5000 0.5000 0.5000  4 Nb 3.07, 8 Si 3.12
Nb 0.0000 0.0000 0.5000  2 P 2.25
Si 0.0000 0.5000 0.0000  2 P 2.17
Si 0.5000 0.0000 0.0000  2 P 2.17
P 0.0000 0.0000 0.0000  4 Si 2.17, 2 Nb 2.25

## Properties
**Energy relative to the elements, uncorrected**: 23.0 kcal/mol of atoms
**Density of states at the Fermi level**: 0.27 states/eV per atom

# 8
Here is a PBEsol-optimized structure of ZrCdHg2 from Alexandria. Energies are from meta-GGA SCAN.

abc: 3.2015 3.2015 7.9899
angles: 90.00 90.00 90.00
Closest atoms and distances in Å follow each position.
Element x y z (fractional)
Hg 0.0000 0.0000 0.7505  4 Zr 3.02, 4 Cd 3.02, 4 Hg 3.20
Hg 0.0000 0.0000 0.2495  4 Zr 3.02, 4 Cd 3.02, 4 Hg 3.20
Zr 0.5000 0.5000 0.0000  8 Hg 3.02, 4 Zr 3.20
Cd 0.5000 0.5000 0.5000  8 Hg 3.02, 4 Cd 3.20

## Properties
**Density of states at the Fermi level**: 0.40 states/eV per atom
**E_form**: -0.84 eV per formula unit

# 9
Here is a PBEsol-optimized structure of MnCoB2 from Alexandria. Energies are from meta-GGA SCAN.

abc: 3.4993 3.4993 3.4993
angles: 60.00 60.00 60.00
Closest atoms and distances in Å follow each position.
Element x y z (fractional)
B 0.2500 0.2500 0.2500  4 Mn 2.14, 4 Co 2.14
B 0.7500 0.7500 0.7500  4 Mn 2.14, 4 Co 2.14
Mn 0.0000 0.0000 0.0000  8 B 2.14
Co 0.5000 0.5000 0.5000  8 B 2.14

## Properties
**E above lowest polymorph**: 144 kJ/mol of formula units
**Density of states at the Fermi level**: 0.90 states/eV per atom
**E_form**: -0.03 eV per formula unit

# 10
Here is a PBEsol-optimized structure of MnAl2Mo from Alexandria. Energies are from meta-GGA SCAN.

abc: 2.7432 3.6091 5.6618
angles: 90.00 90.00 90.00
Closest atoms and distances in Å follow each position.
Element x y z (fractional)
Mo 0.5000 0.5000 0.5000  8 Al 2.71, 2 Mo 2.74, 2 Mn 2.83
Mn 0.5000 0.5000 0.0000  8 Al 2.64, 2 Mn 2.74, 2 Mo 2.83
Al 0.0000 0.0000 0.7613  4 Mn 2.64, 3 Al 2.70-2.74, 4 Mo 2.71
Al 0.0000 0.0000 0.2387  4 Mn 2.64, 3 Al 2.70-2.74, 4 Mo 2.71

## Properties
**Density of states at the Fermi level**: 0.47 states/eV per atom
**E_form**: -1.16 eV per formula unit

# 11
Here is a PBEsol-optimized structure of CuHg2Mo from Alexandria. Energies are from meta-GGA SCAN.

abc: 2.7737 4.9223 5.7449
angles: 115.37 103.97 90.00
Closest atoms and distances in Å follow each position.
Element x y z (fractional)
Cu 0.2412 0.7412 0.4824  2 Mo 2.61, 2 Cu 2.77, 6 Hg 2.78-2.83
Hg 0.9819 0.9819 0.9637  4 Hg 2.77-3.08, 2 Cu 2.78, 4 Mo 2.85
Hg 0.7571 0.2571 0.5143  4 Hg 2.77-3.08, 4 Cu 2.83, 2 Mo 2.97
Mo 0.5198 0.5198 0.0396  2 Cu 2.61, 2 Mo 2.77, 4 Hg 2.85

## Properties
**Density of states at the Fermi level**: 0.46 states/eV per atom
**E_form**: 2.17 eV per formula unit

# 12
Here is a PBEsol-optimized structure of CrGaB3 from Alexandria. Energies are from meta-GGA SCAN.

abc: 4.0055 4.0055 4.0055
angles: 90.00 90.00 90.00
Closest atoms and distances in Å follow each position.
Element x y z (fractional)
Cr 0.5000 0.5000 0.5000  12 B 2.83
B 0.0000 0.5000 0.0000  2 Ga 2.00
B 0.0000 0.0000 0.5000  2 Ga 2.00
B 0.5000 0.0000 0.0000  2 Ga 2.00
Ga 0.0000 0.0000 0.0000  6 B 2.00

## Properties
**Density of states at the Fermi level**: 0.52 states/eV per atom
**E_form**: 9.53 eV per formula unit

# 13
Here is a PBEsol-optimized structure of Ta2SbTe from Alexandria. Energies are from meta-GGA SCAN.

abc: 3.4017 4.9970 5.1325
angles: 105.69 109.35 90.00
Closest atoms and distances in Å follow each position.
Element x y z (fractional)
Sb 0.2605 0.8053 0.5210  7 Ta 2.80-3.05
Ta 0.0031 0.9553 0.0063  3 Sb 2.80-2.82, 2 Ta 3.00, 4 Te 3.02-3.03
Ta 0.7464 0.2914 0.4928  3 Te 2.81-2.83, 2 Ta 3.00, 4 Sb 3.00-3.05
Te 0.4900 0.4480 0.9800  7 Ta 2.81-3.03

## Properties
**E above lowest polymorph**: 0 kJ/mol of formula units
**Energy relative to the elements, uncorrected**: 1.7 kcal/mol of atoms
**Density of states at the Fermi level**: 0.56 states/eV per atom

# 14
Here is a PBEsol-optimized structure of TaTcMo from Alexandria. Energies are from meta-GGA SCAN.

abc: 4.2737 4.2737 4.2737
angles: 60.00 60.00 60.00
Closest atoms and distances in Å follow each position.
Element x y z (fractional)
Mo 0.5000 0.5000 0.5000  4 Ta 2.62
Ta 0.2500 0.2500 0.2500  4 Tc 2.62, 4 Mo 2.62
Tc 0.0000 0.0000 0.0000  4 Ta 2.62

## Properties
**Density of states at the Fermi level**: 1.70 states/eV per atom
**E_form**: 2.76 eV per formula unit

no.,magnetic moment (μB per atom)
1,0.00
2,0.00
3,0.00
4,0.00
5,0.00
6,0.72
7,0.00
8,0.00
9,0.28
10,0.82
11,0.16
12,0.76
13,0.00
14,0.00